Run i
Below is a relaxed Mn2AlPb crystal, with properties calculated at the GGA-PBEsol level.

Cell and atoms, written as CIF:
```
data_Mn2AlPb
_space_group_name_H-M_alt 'P 4/m m m'
_space_group_IT_number 123
_space_group_name_Hall '-P 4 2'
_cell_length_a 4.008
_cell_length_b 4.008
_cell_length_c 3.857
_cell_angle_alpha 90.00
_cell_angle_beta 90.00
_cell_angle_gamma 90.00
loop_
_atom_site_label
_atom_site_fract_x
_atom_site_fract_y
_atom_site_fract_z
Mn1 0.000 0.500 0.000
Al1 0.000 0.000 0.500
Pb1 0.500 0.500 0.500
```

Results
Calculated volume (Å³ per cell): 62
Crystal system: tetragonal
Total moment (μB per atom): 1.2911

***

Run ii
Below is a relaxed Mn2AlPb crystal, with properties calculated at the GGA-PBEsol level.

Cell and atoms, written as CIF:
```
data_Mn2AlPb
_space_group_name_H-M_alt 'I m m m'
_space_group_IT_number 71
_space_group_name_Hall '-I 2 2'
_cell_length_a 4.003
_cell_length_b 4.016
_cell_length_c 7.679
_cell_angle_alpha 90.00
_cell_angle_beta 90.00
_cell_angle_gamma 90.00
loop_
_atom_site_label
_atom_site_fract_x
_atom_site_fract_y
_atom_site_fract_z
Mn1 0.000 0.000 0.250
Al1 0.000 0.500 0.000
Pb1 0.000 0.500 0.500
```

Results
Calculated volume (Å³ per cell): 123
Crystal system: orthorhombic
Total moment (μB per atom): 1.2954

***

run ii has the most favorable energy; the next structure is 0.8 kJ/mol of atoms above.

***

Run i
Below is a relaxed MnAl2Re crystal, with properties calculated at the GGA-PBEsol level.

Cell and atoms, written as CIF:
```
data_MnAl2Re
_space_group_name_H-M_alt 'P 4 m m'
_space_group_IT_number 99
_space_group_name_Hall 'P 4 -2'
_cell_length_a 2.968
_cell_length_b 2.968
_cell_length_c 5.925
_cell_angle_alpha 90.00
_cell_angle_beta 90.00
_cell_angle_gamma 90.00
loop_
_atom_site_label
_atom_site_fract_x
_atom_site_fract_y
_atom_site_fract_z
Mn1 0.000 0.000 0.000
Al1 0.000 0.000 0.506
Al2 0.500 0.500 0.785
Re1 0.500 0.500 0.253
```

Results
Calculated volume (Å³ per cell): 52
Crystal system: tetragonal
Total moment (μB per atom): 0.0000

***

Run ii
Below is a relaxed MnAl2Re crystal, with properties calculated at the GGA-PBEsol level.

Cell and atoms, written as CIF:
```
data_MnAl2Re
_space_group_name_H-M_alt 'I 4/m m m'
_space_group_IT_number 139
_space_group_name_Hall '-I 4 2'
_cell_length_a 3.949
_cell_length_b 3.949
_cell_length_c 7.070
_cell_angle_alpha 90.00
_cell_angle_beta 90.00
_cell_angle_gamma 90.00
loop_
_atom_site_label
_atom_site_fract_x
_atom_site_fract_y
_atom_site_fract_z
Mn1 0.000 0.000 0.000
Al1 0.000 0.500 0.250
Re1 0.000 0.000 0.500
```

Results
Calculated volume (Å³ per cell): 110
Crystal system: tetragonal
Total moment (μB per atom): 0.8940

***

run i has the most favorable energy; the next structure is 14.2 kJ/mol of atoms above.

***

Run i
Below is a relaxed MnAl2Tc crystal, with properties calculated at the GGA-PBEsol level.

Cell and atoms, written as CIF:
```
data_MnAl2Tc
_space_group_name_H-M_alt 'P 4 m m'
_space_group_IT_number 99
_space_group_name_Hall 'P 4 -2'
_cell_length_a 2.967
_cell_length_b 2.967
_cell_length_c 5.899
_cell_angle_alpha 90.00
_cell_angle_beta 90.00
_cell_angle_gamma 90.00
loop_
_atom_site_label
_atom_site_fract_x
_atom_site_fract_y
_atom_site_fract_z
Mn1 0.000 0.000 0.000
Al1 0.000 0.000 0.497
Al2 0.500 0.500 0.782
Tc1 0.500 0.500 0.249
```

Results
Calculated volume (Å³ per cell): 52
Crystal system: tetragonal
Total moment (μB per atom): 0.0000

***

Run ii
Below is a relaxed MnAl2Tc crystal, with properties calculated at the GGA-PBEsol level.

Cell and atoms, written as CIF:
```
data_MnAl2Tc
_space_group_name_H-M_alt 'F m -3 m'
_space_group_IT_number 225
_space_group_name_Hall '-F 4 2 3'
_cell_length_a 5.990
_cell_length_b 5.990
_cell_length_c 5.990
_cell_angle_alpha 90.00
_cell_angle_beta 90.00
_cell_angle_gamma 90.00
loop_
_atom_site_label
_atom_site_fract_x
_atom_site_fract_y
_atom_site_fract_z
Mn1 0.000 0.000 0.000
Al1 0.250 0.250 0.250
Tc1 0.000 0.000 0.500
```

Results
Calculated volume (Å³ per cell): 215
Crystal system: cubic
Total moment (μB per atom): 0.7826

***

Run iii
Below is a relaxed MnAl2Tc crystal, with properties calculated at the GGA-PBEsol level.

Cell and atoms, written as CIF:
```
data_MnAl2Tc
_space_group_name_H-M_alt 'I -4 m 2'
_space_group_IT_number 119
_space_group_name_Hall 'I -4 -2'
_cell_length_a 3.679
_cell_length_b 3.679
_cell_length_c 7.991
_cell_angle_alpha 90.00
_cell_angle_beta 90.00
_cell_angle_gamma 90.00
loop_
_atom_site_label
_atom_site_fract_x
_atom_site_fract_y
_atom_site_fract_z
Mn1 0.000 0.000 0.000
Al1 0.000 0.000 0.500
Al2 0.000 0.500 0.750
Tc1 0.000 0.500 0.250
```

Results
Calculated volume (Å³ per cell): 108
Crystal system: tetragonal
Total moment (μB per atom): 0.6099

***

run i has the most favorable energy; the next structure is 2.7 kJ/mol of atoms above.

***

Run i
Below is a relaxed MnAlTe crystal, with properties calculated at the GGA-PBEsol level.

Cell and atoms, written as CIF:
```
data_MnAlTe
_space_group_name_H-M_alt 'P 3 m 1'
_space_group_IT_number 156
_space_group_name_Hall 'P 3 -2"'
_cell_length_a 3.2564
_cell_length_b 3.2564
_cell_length_c 5.9226
_cell_angle_alpha 90.00
_cell_angle_beta 90.00
_cell_angle_gamma 120.00
loop_
_atom_site_label
_atom_site_fract_x
_atom_site_fract_y
_atom_site_fract_z
Mn1 0.0000 0.0000 0.0000
Al1 0.6667 0.3333 0.2895
Te1 0.3333 0.6667 0.7065
```

Results
Calculated volume (Å³ per cell): 54
Crystal system: trigonal
Total moment (μB per atom): 0.6675

***

Run ii
Below is a relaxed MnAlTe crystal, with properties calculated at the GGA-PBEsol level.

Cell and atoms, written as CIF:
```
data_MnAlTe
_space_group_name_H-M_alt 'F -4 3 m'
_space_group_IT_number 216
_space_group_name_Hall 'F -4 2 3'
_cell_length_a 6.016
_cell_length_b 6.016
_cell_length_c 6.016
_cell_angle_alpha 90.00
_cell_angle_beta 90.00
_cell_angle_gamma 90.00
loop_
_atom_site_label
_atom_site_fract_x
_atom_site_fract_y
_atom_site_fract_z
Mn1 0.000 0.000 0.000
Al1 0.250 0.250 0.750
Te1 0.250 0.250 0.250
```

Results
Calculated volume (Å³ per cell): 218
Crystal system: cubic
Total moment (μB per atom): 0.5968

***

run ii has the most favorable energy; the next structure is 1.1 kJ/mol of atoms above.